VASP calculation (PBE) on a relaxed HoPu3In12 crystal.

**Volume**: 25.14 Å³ per atom
**Density of states at the Fermi level**: 2.426 states/eV/atom
**E_form**: -267 meV per atom
**Crystal system**: tetragonal

Unit cell a=4.6566 b=4.6566 c=18.5475 alpha=90.00 beta=90.00 gamma=90.00
Closest atoms and distances in Å follow each position.
Fractional positions:
Ho: 0.0000 0.0000 0.0000  12 In 3.28-3.29
Pu: 0.0000 0.0000 0.2486  12 In 3.27-3.30
Pu: 0.0000 0.0000 0.5000  12 In 3.29
Pu: 0.0000 0.0000 0.7514  12 In 3.27-3.30
In: 0.0000 0.5000 0.1246  2 Pu 3.27, 8 In 3.28-3.29, 2 Ho 3.28
In: 0.0000 0.5000 0.3749  8 In 3.28-3.29, 4 Pu 3.29-3.30
In: 0.0000 0.5000 0.6251  8 In 3.28-3.29, 4 Pu 3.29-3.30
In: 0.0000 0.5000 0.8754  2 Pu 3.27, 8 In 3.28-3.29, 2 Ho 3.28
In: 0.5000 0.0000 0.1246  2 Pu 3.27, 8 In 3.28-3.29, 2 Ho 3.28
In: 0.5000 0.0000 0.3749  8 In 3.28-3.29, 4 Pu 3.29-3.30
In: 0.5000 0.0000 0.6251  8 In 3.28-3.29, 4 Pu 3.29-3.30
In: 0.5000 0.0000 0.8754  2 Pu 3.27, 8 In 3.28-3.29, 2 Ho 3.28
In: 0.5000 0.5000 0.0000  8 In 3.28, 4 Ho 3.29
In: 0.5000 0.5000 0.2502  8 In 3.28-3.29, 4 Pu 3.29
In: 0.5000 0.5000 0.5000  8 In 3.29, 4 Pu 3.29
In: 0.5000 0.5000 0.7498  8 In 3.28-3.29, 4 Pu 3.29

---

VASP calculation (PBE) on a relaxed CoP2 crystal.

**Volume**: 13.21 Å³ per atom
**Density of states at the Fermi level**: 0.825 states/eV/atom
**E_form**: 123 meV per atom
**Crystal system**: tetragonal

Unit cell a=3.4088 b=3.4088 c=3.4107 alpha=90.00 beta=90.00 gamma=90.00
Closest atoms and distances in Å follow each position.
Fractional positions:
Co: 0.0000 0.0000 0.0000  8 P 2.41
P: 0.0000 0.5000 0.5000  4 P 2.41, 4 Co 2.41
P: 0.5000 0.0000 0.5000  4 P 2.41, 4 Co 2.41

---

VASP calculation (PBE) on a relaxed Re2TcCl crystal.

**Volume**: 15.08 Å³ per atom
**Density of states at the Fermi level**: 0.913 states/eV/atom
**Crystal system**: cubic
**E**: -8.17 eV per atom

Unit cell a=4.4018 b=4.4018 c=4.4018 alpha=60.00 beta=60.00 gamma=60.00
Closest atoms and distances in Å follow each position.
Fractional positions:
Re: 0.2500 0.2500 0.2500  4 Cl 2.70, 4 Tc 2.70
Re: 0.7500 0.7500 0.7500  4 Cl 2.70, 4 Tc 2.70
Tc: 0.0000 0.0000 0.0000  8 Re 2.70
Cl: 0.5000 0.5000 0.5000  8 Re 2.70

---

VASP calculation (PBE) on a relaxed MnAlSe crystal.

**Volume**: 15.61 Å³ per atom
**Density of states at the Fermi level**: 0.467 states/eV/atom
**Crystal system**: tetragonal
**E**: -5.49 eV per atom

Unit cell a=5.8825 b=5.8825 c=5.8825 alpha=151.31 beta=151.31 gamma=41.02
Closest atoms and distances in Å follow each position.
Fractional positions:
Mn: 0.0000 0.0000 0.0000  4 Se 2.44, 4 Al 2.59
Al: 0.6428 0.6428 0.0000  4 Mn 2.59, 1 Se 2.88
Se: 0.3818 0.3818 0.0000  4 Mn 2.44

---

VASP calculation (PBE) on a relaxed Na4I3F crystal.

**Volume**: 33.48 Å³ per atom
**Density of states at the Fermi level**: 0.000 states/eV/atom
**Crystal system**: orthorhombic
**E**: -3.00 eV per atom

Unit cell a=7.2014 b=7.2014 c=7.2014 alpha=121.62 beta=92.14 gamma=116.00
Closest atoms and distances in Å follow each position.
Fractional positions:
Na: 0.1958 0.0000 0.1958  1 F 2.23
Na: 0.3017 0.0460 0.7443  1 F 2.18
Na: 0.3017 0.5574 0.2557  1 F 2.18
Na: 0.8042 0.0000 0.8042  1 F 2.23
I: 0.3369 0.6054 0.7315  3 Na 3.10-3.25
I: 0.6257 0.1257 0.5000  4 Na 3.01-3.19
I: 0.8739 0.6054 0.2685  3 Na 3.10-3.25
F: 0.1393 0.1393 0.0000  4 Na 2.18-2.23

---

VASP calculation (PBE) on a relaxed BaMg2CoHg crystal.

**Volume**: 25.98 Å³ per atom
**Density of states at the Fermi level**: 0.390 states/eV/atom
**E_form**: -30 meV per atom
**Crystal system**: tetragonal

Unit cell a=4.9782 b=4.9782 c=5.2420 alpha=90.00 beta=90.00 gamma=90.00
Closest atoms and distances in Å follow each position.
Fractional positions:
Ba: 0.0000 0.0000 0.0000  4 Hg 3.52, 8 Mg 3.61
Mg: 0.0000 0.5000 0.5000  2 Co 2.49
Mg: 0.5000 0.0000 0.5000  2 Co 2.49
Co: 0.5000 0.5000 0.5000  4 Mg 2.49, 2 Hg 2.62
Hg: 0.5000 0.5000 0.0000  2 Co 2.62

---

VASP calculation (PBE) on a relaxed Mn4CoP crystal.

**Volume**: 11.43 Å³ per atom
**Density of states at the Fermi level**: 1.443 states/eV/atom
**E_form**: 405 meV per atom
**Crystal system**: cubic

Unit cell a=4.5947 b=4.5947 c=4.5947 alpha=60.00 beta=60.00 gamma=60.00
Closest atoms and distances in Å follow each position.
Fractional positions:
Mn: 0.1246 0.1246 0.1246  6 Mn 2.29-2.31
Mn: 0.1246 0.1246 0.6263  6 Mn 2.29-2.31
Mn: 0.1246 0.6263 0.1246  6 Mn 2.29-2.31
Mn: 0.6263 0.1246 0.1246  6 Mn 2.29-2.31
Co: 0.5000 0.5000 0.5000  12 Mn 2.69, 4 P 2.81
P: 0.7500 0.7500 0.7500  12 Mn 2.69, 4 Co 2.81

---

VASP calculation (PBE) on a relaxed PmNpOsRh crystal.

**Volume**: 20.48 Å³ per atom
**Density of states at the Fermi level**: 1.446 states/eV/atom
**E_form**: -108 meV per atom
**Crystal system**: cubic

Unit cell a=4.8748 b=4.8748 c=4.8748 alpha=60.00 beta=60.00 gamma=60.00
Closest atoms and distances in Å follow each position.
Fractional positions:
Pm: 0.0000 0.0000 0.0000  4 Rh 2.99, 4 Os 2.99
Np: 0.5000 0.5000 0.5000  4 Rh 2.99, 4 Os 2.99
Os: 0.2500 0.2500 0.2500  4 Np 2.99, 4 Pm 2.99
Rh: 0.7500 0.7500 0.7500  4 Np 2.99, 4 Pm 2.99

---

Number 1: mass density 9.4 g/cm³. Number 2: mass density 5.1 g/cm³. Number 3: mass density 13.9 g/cm³. Number 4: mass density 5.7 g/cm³. Number 5: mass density 3.0 g/cm³. Number 6: mass density 5.7 g/cm³. Number 7: mass density 7.5 g/cm³. Number 8: mass density 13.7 g/cm³.